GeOs2Pt: optimized geometry, PBE.

Computed properties:
D(E_F): 18.96 states/eV/cell
energy relative to the elements: 1.19 eV/atom
final energy: -0.521 Ry/atom

Cell and atoms, written as POSCAR:
```
GeOs2Pt
1.0
5.5673 0.0000 0.0000
0.0000 5.5673 0.0000
0.0000 0.0000 11.3426
Ge Os Pt
4 8 4
direct
0.0000 0.0000 0.0000
0.0000 0.5000 0.2500
0.5000 0.0000 0.7500
0.5000 0.5000 0.5000
0.2496 0.2500 0.1250
0.2504 0.2500 0.6250
0.2500 0.7496 0.3750
0.2500 0.7504 0.8750
0.7500 0.2504 0.3750
0.7500 0.2496 0.8750
0.7504 0.7500 0.1250
0.7496 0.7500 0.6250
0.0000 0.0000 0.5000
0.0000 0.5000 0.7500
0.5000 0.0000 0.2500
0.5000 0.5000 0.0000
```



KMgSnAs2: optimized geometry, PBE.

Computed properties:
D(E_F): 1.84 states/eV/cell
energy relative to the elements: -0.38 eV/atom
final energy: -0.263 Ry/atom

Cell and atoms, written as POSCAR:
```
KMgSnAs2
1.0
6.8494 -2.4532 0.0000
6.8494 2.4532 0.0000
-1.2433 0.0000 9.5441
K Mg Sn As
2 2 2 4
direct
0.1498 0.1498 0.1615
0.8502 0.8502 0.8385
0.1740 0.1740 0.5605
0.8260 0.8260 0.4395
0.4387 0.4387 0.2978
0.5613 0.5613 0.7022
0.1135 0.1135 0.8103
0.3705 0.3705 0.5606
0.6295 0.6295 0.4394
0.8865 0.8865 0.1897
```



Look up the final energy of the first one.
-0.521 Ry/atom